This record from the Open Quantum Materials Database describes a relaxed structure of YErSb2. The functional is PBE.

The space group is P4/mmm (No. 123) and the conventional cell measures 4.368, 4.368 and 6.178 Å, with angles of 90.00, 90.00 and 90.00 degrees. The asymmetric unit holds Y at (0.000, 0.000, 0.000), Er at (0.500, 0.500, 0.500), Sb at (0.000, 0.000, 0.500) and Sb at (0.500, 0.500, 0.000).

Its total energy is -23.788 eV for the cell shown. For the volume, the calculation gives 29.47 Å³ per atom. As for the crystal system: tetragonal.

This record from the Open Quantum Materials Database describes a relaxed structure of YEr2Sb3. The functional is PBE.

The space group is P-3m1 (No. 164) and the conventional cell measures 4.3619, 4.3619 and 10.6833 Å, with angles of 90.00, 90.00 and 120.00 degrees. The asymmetric unit holds Y at (0.0000, 0.0000, 0.0000), Er at (0.3333, 0.6667, 0.6664), Sb at (0.0000, 0.0000, 0.5000) and Sb at (0.3333, 0.6667, 0.1688).

Its total energy is -34.664 eV for the cell shown. For the volume, the calculation gives 29.34 Å³ per atom. As for the crystal system: trigonal.

This record from the Open Quantum Materials Database describes a relaxed structure of YErZr2Sb2. The functional is PBE.

The space group is I4mm (No. 107) and the conventional cell measures 4.272, 4.272 and 16.546 Å, with angles of 90.00, 90.00 and 90.00 degrees. The asymmetric unit holds Y at (0.000, 0.000, 0.000), Er at (0.000, 0.000, 0.353), Zr at (0.000, 0.500, 0.177), Sb at (0.000, 0.000, 0.543) and Sb at (0.000, 0.000, 0.811).

Its total energy is -82.379 eV for the cell shown. For the volume, the calculation gives 25.17 Å³ per atom. As for the crystal system: tetragonal.

This record from the Open Quantum Materials Database describes a relaxed structure of Er5Zn2Sb. The functional is PBE.

The space group is I4/mcm (No. 140) and the conventional cell measures 8.019, 8.019 and 12.621 Å, with angles of 90.00, 90.00 and 90.00 degrees. The asymmetric unit holds Er at (0.000, 0.000, 0.000), Er at (0.154, 0.346, 0.144), Zn at (0.138, 0.362, 0.500) and Sb at (0.000, 0.000, 0.250).

Its total energy is -133.238 eV for the cell shown. For the volume, the calculation gives 25.36 Å³ per atom. As for the crystal system: tetragonal.

This record from the Open Quantum Materials Database describes a relaxed structure of Er2ZrSb3. The functional is PBE.

The space group is P-3m1 (No. 164) and the conventional cell measures 4.2619, 4.2619 and 10.5370 Å, with angles of 90.00, 90.00 and 120.00 degrees. The asymmetric unit holds Er at (0.3333, 0.6667, 0.1714), Zr at (0.0000, 0.0000, 0.5000), Sb at (0.0000, 0.0000, 0.0000) and Sb at (0.3333, 0.6667, 0.6573).

Its total energy is -35.554 eV for the cell shown. For the volume, the calculation gives 27.62 Å³ per atom. As for the crystal system: trigonal.

This record from the Open Quantum Materials Database describes a relaxed structure of ErSc. The functional is PBE.

The space group is P-6m2 (No. 187) and the conventional cell measures 3.4307, 3.4307 and 5.3457 Å, with angles of 90.00, 90.00 and 120.00 degrees. The asymmetric unit holds Er at (0.0000, 0.0000, 0.0000) and Sc at (0.6667, 0.3333, 0.5000).

Its total energy is -10.829 eV for the cell shown. For the volume, the calculation gives 27.24 Å³ per atom. As for the crystal system: hexagonal. The value obtained for the formation energy is 0.031 eV/atom.

This record from the Open Quantum Materials Database describes a relaxed structure of ErSc. The functional is PBE.

The space group is P6_3/mmc (No. 194) and the conventional cell measures 3.4803, 3.4803 and 9.5246 Å, with angles of 90.00, 90.00 and 120.00 degrees. The asymmetric unit holds Er at (0.0000, 0.0000, 0.0000) and Sc at (0.3333, 0.6667, 0.2500).

Its total energy is -21.031 eV for the cell shown. For the volume, the calculation gives 24.98 Å³ per atom. As for the crystal system: hexagonal. The value obtained for the formation energy is 0.188 eV/atom.

This record from the Open Quantum Materials Database describes a relaxed structure of Er2Sc. The functional is PBE.

The space group is Fd-3m (No. 227, origin choice 2) and the conventional cell measures 8.895, 8.895 and 8.895 Å, with angles of 90.00, 90.00 and 90.00 degrees. The asymmetric unit holds Er at (0.000, 0.000, 0.000) and Sc at (0.125, 0.125, 0.625).

Its total energy is -115.546 eV for the cell shown. For the volume, the calculation gives 29.33 Å³ per atom. As for the crystal system: cubic. The value obtained for the formation energy is 0.337 eV/atom.

This record from the Open Quantum Materials Database describes a relaxed structure of ErSc2. The functional is PBE.

The space group is Fd-3m (No. 227, origin choice 2) and the conventional cell measures 11.587, 11.587 and 11.587 Å, with angles of 90.00, 90.00 and 90.00 degrees. The asymmetric unit holds Er at (0.125, 0.125, 0.125) and Sc at (0.000, 0.000, 0.000).

Its total energy is -69.300 eV for the cell shown. For the volume, the calculation gives 64.82 Å³ per atom. As for the crystal system: cubic. The value obtained for the formation energy is 2.853 eV/atom.

This record from the Open Quantum Materials Database describes a relaxed structure of ErSc2. The functional is PBE.

The space group is Fd-3m (No. 227, origin choice 2) and the conventional cell measures 8.684, 8.684 and 8.684 Å, with angles of 90.00, 90.00 and 90.00 degrees. The asymmetric unit holds Er at (0.125, 0.125, 0.125) and Sc at (0.000, 0.000, 0.500).

Its total energy is -132.087 eV for the cell shown. For the volume, the calculation gives 27.28 Å³ per atom. As for the crystal system: cubic. The value obtained for the formation energy is 0.236 eV/atom.

This record from the Open Quantum Materials Database describes a relaxed structure of Er2Sc. The functional is PBE.

The space group is Fd-3m (No. 227, origin choice 2) and the conventional cell measures 13.233, 13.233 and 13.233 Å, with angles of 90.00, 90.00 and 90.00 degrees. The asymmetric unit holds Er at (0.000, 0.000, 0.000) and Sc at (0.125, 0.125, 0.125).

Its total energy is -65.747 eV for the cell shown. For the volume, the calculation gives 96.56 Å³ per atom. As for the crystal system: cubic. The value obtained for the formation energy is 2.412 eV/atom.

This record from the Open Quantum Materials Database describes a relaxed structure of ErSc. The functional is PBE.

The space group is P6_3/mmc (No. 194) and the conventional cell measures 3.9046, 3.9046 and 7.9077 Å, with angles of 90.00, 90.00 and 120.00 degrees. The asymmetric unit holds Er at (0.3333, 0.6667, 0.2500) and Sc at (0.0000, 0.0000, 0.0000).

Its total energy is -19.707 eV for the cell shown. For the volume, the calculation gives 26.10 Å³ per atom. As for the crystal system: hexagonal. The value obtained for the formation energy is 0.519 eV/atom.

This record from the Open Quantum Materials Database describes a relaxed structure of Er2Sc. The functional is PBE.

The space group is Fm-3m (No. 225) and the conventional cell measures 7.360, 7.360 and 7.360 Å, with angles of 90.00, 90.00 and 90.00 degrees. The asymmetric unit holds Er at (0.250, 0.250, 0.250) and Sc at (0.000, 0.000, 0.000).

Its total energy is -53.512 eV for the cell shown. For the volume, the calculation gives 33.23 Å³ per atom. As for the crystal system: cubic. The value obtained for the formation energy is 0.692 eV/atom.

This record from the Open Quantum Materials Database describes a relaxed structure of ErSc. The functional is PBE.

The space group is Fm-3m (No. 225) and the conventional cell measures 6.132, 6.132 and 6.132 Å, with angles of 90.00, 90.00 and 90.00 degrees. The asymmetric unit holds Er at (0.000, 0.000, 0.000) and Sc at (0.000, 0.000, 0.500).

Its total energy is -37.252 eV for the cell shown. For the volume, the calculation gives 28.83 Å³ per atom. As for the crystal system: cubic. The value obtained for the formation energy is 0.789 eV/atom.

This record from the Open Quantum Materials Database describes a relaxed structure of ErSc2. The functional is PBE.

The space group is C2/m (No. 12) and the conventional cell measures 5.795, 3.365 and 8.112 Å, with angles of 90.00, 104.25 and 90.00 degrees. The asymmetric unit holds Er at (0.000, 0.000, 0.000) and Sc at (0.222, 0.000, 0.658).

Its total energy is -34.267 eV for the cell shown. For the volume, the calculation gives 25.55 Å³ per atom. As for the crystal system: monoclinic. The value obtained for the formation energy is 0.029 eV/atom.

This record from the Open Quantum Materials Database describes a relaxed structure of ErSc. The functional is PBE.

The space group is F-43m (No. 216) and the conventional cell measures 6.543, 6.543 and 6.543 Å, with angles of 90.00, 90.00 and 90.00 degrees. The asymmetric unit holds Er at (0.000, 0.000, 0.000) and Sc at (0.250, 0.250, 0.750).

Its total energy is -27.526 eV for the cell shown. For the volume, the calculation gives 35.02 Å³ per atom. As for the crystal system: cubic. The value obtained for the formation energy is 2.005 eV/atom.

This record from the Open Quantum Materials Database describes a relaxed structure of Er2ScSe3. The functional is PBE.

The space group is P-3m1 (No. 164) and the conventional cell measures 3.9725, 3.9725 and 9.7249 Å, with angles of 90.00, 90.00 and 120.00 degrees. The asymmetric unit holds Er at (0.3333, 0.6667, 0.1722), Sc at (0.0000, 0.0000, 0.5000), Se at (0.0000, 0.0000, 0.0000) and Se at (0.3333, 0.6667, 0.6556).

Its total energy is -35.849 eV for the cell shown. For the volume, the calculation gives 22.15 Å³ per atom. As for the crystal system: trigonal.

This record from the Open Quantum Materials Database describes a relaxed structure of ErScSi2. The functional is PBE.

The space group is Amm2 (No. 38) and the conventional cell measures 3.737, 4.118 and 10.184 Å, with angles of 90.00, 90.00 and 90.00 degrees. The asymmetric unit holds Er at (0.000, 0.000, 0.000), Sc at (0.500, 0.000, 0.720), Si at (0.000, 0.000, 0.279) and Si at (0.500, 0.000, 0.436).

Its total energy is -49.985 eV for the cell shown. For the volume, the calculation gives 19.59 Å³ per atom. As for the crystal system: orthorhombic.

This record from the Open Quantum Materials Database describes a relaxed structure of SmErSc. The functional is PBE.

The space group is F-43m (No. 216) and the conventional cell measures 7.436, 7.436 and 7.436 Å, with angles of 90.00, 90.00 and 90.00 degrees. The asymmetric unit holds Sm at (0.000, 0.000, 0.000), Er at (0.000, 0.000, 0.500) and Sc at (0.250, 0.250, 0.750).

Its total energy is -54.212 eV for the cell shown. For the volume, the calculation gives 34.27 Å³ per atom. As for the crystal system: cubic. The value obtained for the formation energy is 0.683 eV/atom.

This record from the Open Quantum Materials Database describes a relaxed structure of ErScTa. The functional is PBE.

The space group is F-43m (No. 216) and the conventional cell measures 6.820, 6.820 and 6.820 Å, with angles of 90.00, 90.00 and 90.00 degrees. The asymmetric unit holds Er at (0.000, 0.000, 0.000), Sc at (0.250, 0.250, 0.250) and Ta at (0.000, 0.000, 0.500).

Its total energy is -76.904 eV for the cell shown. For the volume, the calculation gives 26.43 Å³ per atom. As for the crystal system: cubic. The value obtained for the formation energy is 1.173 eV/atom.